Density functional theory data (PBE-GGA) for an optimized crystal structure of NaCd3Ga2.

a = 8.4879 Å, b = 8.4879 Å, c = 8.4544 Å
α = 119.86°, β = 119.86°, γ = 31.40°
Closest atoms and distances in Å follow each position.
Positions (direct):
Na 0.1299 0.1299 0.1302  6 Ga 3.19-3.40, 8 Cd 3.22-3.46
Na 0.8701 0.8701 0.8698  6 Ga 3.19-3.40, 8 Cd 3.22-3.46
Cd 0.9998 0.9998 0.3303  4 Ga 2.76-3.03, 1 Cd 2.87
Cd 0.0002 0.0002 0.6697  4 Ga 2.76-3.03, 1 Cd 2.87
Cd 0.3241 0.3241 0.1197  3 Ga 2.75-2.88
Cd 0.3243 0.3243 0.5286  3 Ga 2.76-2.88
Cd 0.6757 0.6757 0.4714  3 Ga 2.76-2.88
Cd 0.6759 0.6759 0.8803  3 Ga 2.75-2.88
Ga 0.1907 0.1907 0.6905  8 Cd 2.88-3.12
Ga 0.4999 0.4999 0.1487  1 Ga 2.52, 4 Cd 2.75-2.76
Ga 0.5001 0.5001 0.8513  1 Ga 2.52, 4 Cd 2.75-2.76
Ga 0.8093 0.8093 0.3095  8 Cd 2.88-3.12

DFT formation energy, meV per atom: -56.7
DFT total energy, eV per atom: -1.743
Size of the total moment, μB per atom: 0.000